Record 1
Ac2Tl4Ni, optimized geometry, DFT PBE-GGA; energy of formation from the pure elements = -0.136 eV per atom; E = -24.412 eV per cell
1.0
5.030 0.000 0.000
0.000 5.030 0.000
-2.515 -2.515 8.659
Ni Ac Tl
1 2 4
Cartesian
0.000 0.000 0.000
2.515 2.515 2.648
0.000 0.000 6.012
2.515 2.515 5.975
0.000 0.000 2.685
0.000 2.515 0.000
2.515 0.000 0.000

Record 2
SmZn5CdAu2, optimized geometry, DFT PBE-GGA; energy of formation from the pure elements = -0.063 eV per atom; E = -19.125 eV per cell
1.0
-4.531 -1.633 -0.867
1.836 -3.708 -2.612
0.336 -4.301 6.341
Sm Zn Cd Au
1 5 1 2
Cartesian
0.168 -2.151 3.171
1.003 -2.941 0.296
-2.181 -1.903 1.168
1.169 -5.069 3.433
-2.014 -4.031 4.306
-1.179 -4.821 1.431
0.000 0.000 0.000
-1.289 -3.415 -0.642
-1.070 -6.227 3.504

Record 3
BaHgAu2F, optimized geometry, DFT PBE-GGA; E = -13.249 eV per cell; ΔE_f (raw) = -0.5196 eV per atom
1.0
-1.434 2.888 4.032
-6.269 -0.064 -2.183
-0.911 -4.279 2.741
F Au Hg Ba
1 2 1 1
Cartesian
-4.307 -0.727 2.295
-0.456 -2.140 1.371
-0.717 1.444 2.016
0.000 0.000 0.000
-3.135 -0.032 -1.092

Record 4
K2CuSb, optimized geometry, DFT PBE-GGA; E = -9.959 eV per cell; ΔE_f (raw) = 0.1137 eV per atom
1.0
6.211 -0.002 0.000
2.593 5.644 0.000
-4.402 -2.821 3.353
Cu K Sb
1 2 1
Cartesian
3.105 -0.001 1.676
0.000 0.000 0.000
4.402 2.821 0.000
1.296 2.822 1.676

Record 5
SnBiO2, optimized geometry, DFT PBE-GGA; E = -21.498 eV per cell; ΔE to the lowest computed polymorph = 3.6 kJ/mol of atoms; ΔE_f (raw) = -0.9244 eV per atom
1.0
2.031 0.000 7.102
-1.016 1.759 7.102
-1.016 -1.759 7.102
Bi O Sn
1 2 1
Cartesian
0.000 0.000 10.653
0.000 0.000 19.022
0.000 0.000 2.284
0.000 0.000 0.000

Record 6
LaAg2N, optimized geometry, DFT PBE-GGA; E = -32.810 eV per cell; ΔE_f (raw) = 0.6375 eV per atom
1.0
-0.433 -2.009 -5.035
-0.921 -4.950 2.054
-6.915 -2.293 -1.427
N Ag La
2 4 2
Cartesian
-0.677 -3.480 -1.490
-4.256 -5.362 -0.431
-2.007 -1.949 -1.997
-2.466 -4.417 -0.952
-5.923 -5.558 -1.678
-6.143 -6.581 -4.188
0.000 0.000 0.000
-4.013 -3.891 -3.976

Record 7
Hf2VIr2, optimized geometry, DFT PBE-GGA; energy of formation from the pure elements = -0.596 eV per atom; E = -99.455 eV per cell; ΔE to the lowest computed polymorph = 0.0 kJ/mol of atoms
1.0
-0.011 6.130 -2.005
-6.450 -0.016 -0.014
-0.012 1.342 4.102
Ir Hf V
4 4 2
Cartesian
-5.533 2.176 -0.728
-4.155 5.245 -1.727
-0.928 3.938 -1.291
-2.306 0.869 -0.291
-4.368 1.739 1.689
-5.328 4.802 0.685
-2.105 5.717 0.395
-1.145 2.654 1.399
0.000 0.000 0.000
-3.230 3.057 -1.009

Record 8
Ce6AsP2S3, optimized geometry, DFT PBE-GGA; E = -84.693 eV per cell; ΔE_f (raw) = -1.7699 eV per atom
1.0
4.088 0.000 0.000
0.000 8.152 0.317
-2.044 -2.325 8.576
Ce As P S
6 1 2 3
Cartesian
0.000 5.912 5.965
2.044 3.967 3.051
2.044 -0.085 2.928
0.000 2.090 0.097
2.044 3.737 8.796
0.000 1.860 5.841
2.044 0.000 0.000
2.044 3.886 5.923
0.000 1.941 2.970
2.044 4.076 0.159
2.044 -0.191 5.787
0.000 6.018 3.106

Record 9
Dy3ZnI3, optimized geometry, DFT PBE-GGA; E = -103.079 eV per cell; ΔE_f (raw) = -0.8627 eV per atom
1.0
-3.523 2.085 9.696
3.144 -10.031 -0.509
8.105 6.334 -2.225
Dy Zn I
12 4 12
Cartesian
0.002 -1.355 8.593
0.456 2.422 4.405
3.085 3.401 1.342
-0.961 -5.364 9.105
1.038 2.661 8.373
-2.364 1.647 7.355
2.792 -0.080 5.792
1.538 -4.451 6.543
-0.902 -1.457 5.013
2.019 -0.116 1.710
4.340 3.594 5.297
5.773 0.990 3.104
-1.070 -3.452 7.018
3.077 1.702 3.608
0.170 0.639 6.589
2.026 1.584 -0.556
10.241 -3.214 -0.348
5.755 -1.341 5.236
8.668 -0.150 2.107
8.797 3.792 -2.256
3.450 -5.321 1.569
1.891 -2.488 3.955
6.078 2.798 0.532
4.832 -1.421 1.109
4.595 -5.168 5.637
7.685 -0.261 -1.789
6.539 -4.318 -1.456
7.374 -4.144 2.618

Record 10
CaNd3In12, optimized geometry, DFT PBE-GGA; energy of formation from the pure elements = -0.426 eV per atom; E = -55.976 eV per cell
1.0
4.723 0.000 0.000
0.000 4.723 0.000
0.000 0.000 18.865
Ca Nd In
1 3 12
Cartesian
0.000 0.000 0.000
0.000 0.000 4.725
0.000 0.000 9.432
0.000 0.000 14.140
2.362 2.362 0.000
2.362 2.362 4.719
2.362 2.362 9.432
2.362 2.362 14.145
2.362 0.000 2.333
2.362 0.000 7.071
2.362 0.000 11.794
2.362 0.000 16.531
0.000 2.362 2.333
0.000 2.362 7.071
0.000 2.362 11.794
0.000 2.362 16.531

Record 11
ScFeAs2H, optimized geometry, DFT PBE-GGA; E = -26.099 eV per cell
1.0
4.364 0.000 0.000
0.000 4.964 0.000
0.000 0.000 4.364
Sc H As Fe
1 1 2 1
Cartesian
0.000 2.482 0.000
2.182 2.482 2.182
0.000 0.000 2.182
2.182 0.000 0.000
0.000 0.000 0.000

Record 12
In3Si2, optimized geometry, DFT PBE-GGA; E = -17.600 eV per cell; ΔE_f (raw) = 0.2923 eV per atom
1.0
2.189 -3.792 0.000
2.189 3.792 0.000
0.000 0.000 7.291
In Si
3 2
Cartesian
0.000 0.000 0.000
2.189 -1.264 4.634
2.189 1.264 2.657
2.189 -1.264 1.635
2.189 1.264 5.656

Record 13
DyTl2TeSe4, optimized geometry, DFT PBE-GGA; E = -32.084 eV per cell; ΔE_f (raw) = -0.7087 eV per atom
1.0
4.153 0.000 0.000
0.000 8.011 -0.238
0.000 2.745 7.129
Dy Tl Te Se
1 2 1 4
Cartesian
0.000 5.378 3.446
0.000 2.745 7.129
2.077 1.372 3.565
2.077 4.005 -0.119
0.000 7.694 5.301
4.153 3.061 1.590
2.077 6.616 1.898
2.077 4.139 4.994

Record 14
Sc2AlS, optimized geometry, DFT PBE-GGA; E = -46.423 eV per cell; ΔE to the lowest computed polymorph = 36.4 kJ/mol of atoms; ΔE_f (raw) = -0.6696 eV per atom
1.0
-4.215 -1.118 5.744
5.669 -2.538 3.666
1.368 1.109 5.747
Sc S Al
4 2 2
Cartesian
-1.742 -0.781 5.702
3.517 -1.406 4.229
1.358 -0.443 7.701
2.512 -2.462 12.682
0.000 0.000 0.000
-1.060 -0.918 8.098
0.727 -1.828 4.705
3.882 -1.628 7.059

Record 15
Rb2AgBi4Au3, optimized geometry, DFT PBE-GGA; energy of formation from the pure elements = -0.202 eV per atom; E = -32.164 eV per cell
1.0
5.069 0.000 0.000
0.000 5.069 0.000
0.000 0.000 11.814
Rb Ag Bi Au
2 1 4 3
Cartesian
2.534 0.000 3.043
0.000 2.534 8.771
2.534 2.534 5.907
2.534 2.534 0.000
0.000 0.000 0.000
2.534 0.000 7.406
0.000 2.534 4.408
0.000 0.000 5.907
2.534 0.000 10.260
0.000 2.534 1.554

Record 16
HfCd2Pd, optimized geometry, DFT PBE-GGA; energy of formation from the pure elements = -0.285 eV per atom; E = -18.118 eV per cell
1.0
-1.876 -0.653 2.685
2.761 -0.305 1.855
-0.251 6.983 1.523
Hf Cd Pd
1 2 1
Cartesian
0.262 4.532 3.363
-0.251 6.958 1.518
0.374 1.405 2.681
-0.130 3.604 0.786

Record 17
CsFeSi2, optimized geometry, DFT PBE-GGA; E = -14.862 eV per cell; ΔE to the lowest computed polymorph = 122.7 kJ/mol of atoms; ΔE_f (raw) = 1.3251 eV per atom
1.0
0.000 3.432 3.432
3.432 0.000 3.432
3.432 3.432 0.000
Cs Si Fe
1 2 1
Cartesian
3.432 3.432 3.432
1.716 1.716 1.716
5.147 5.147 5.147
0.000 0.000 0.000

Record 18
Ta2FePd9, optimized geometry, DFT PBE-GGA; energy of formation from the pure elements = -0.330 eV per atom; E = -82.865 eV per cell
1.0
3.952 0.000 0.000
0.000 3.952 0.000
0.000 0.000 11.818
Ta Fe Pd
2 1 9
Cartesian
0.000 0.000 3.835
0.000 0.000 7.982
0.000 0.000 0.000
1.976 1.976 0.000
1.976 1.976 3.965
1.976 1.976 7.852
1.976 0.000 1.987
1.976 0.000 5.909
1.976 0.000 9.831
0.000 1.976 1.987
0.000 1.976 5.909
0.000 1.976 9.831

Record 19
CaInBr2, optimized geometry, DFT PBE-GGA; E = -11.886 eV per cell; ΔE to the lowest computed polymorph = 31.7 kJ/mol of atoms; ΔE_f (raw) = -0.9501 eV per atom
1.0
-3.533 3.227 3.095
-3.321 -4.568 -0.758
-1.758 -2.412 4.783
Ca Br In
1 2 1
Cartesian
-2.645 0.407 3.939
0.000 0.000 0.000
-3.427 -0.671 1.168
-2.539 -3.490 2.012

Record 20
TiZn3N, optimized geometry, DFT PBE-GGA; E = -10.085 eV per cell; ΔE to the lowest computed polymorph = 138.5 kJ/mol of atoms; ΔE_f (raw) = 1.9913 eV per atom
1.0
4.975 0.000 0.000
0.000 4.975 0.000
0.000 0.000 4.975
Zn N Ti
3 1 1
Cartesian
0.000 2.488 0.000
0.000 0.000 2.488
2.488 0.000 0.000
2.488 2.488 2.488
0.000 0.000 0.000